Er8RuPt2, optimized geometry, DFT PBE-GGA; total energy = -63.6 eV/cell; N(E_F) = 10.74 states/eV per cell; energy of formation = -5.8 eV/f.u.; distance to the lowest polymorph of the same formula = 0.98 eV per formula unit
1.0
-5.8252 -0.1508 -0.0309
1.5473 -5.7988 -4.5927
1.3733 -1.5083 7.2768
Er Ru Pt
8 1 2
direct
0.5796 0.3339 0.0820 Er
0.5796 0.0820 0.3339 Er
0.1688 0.3587 0.3587 Er
0.9901 0.2133 0.7874 Er
0.9901 0.7874 0.2133 Er
0.8137 0.6478 0.6478 Er
0.3825 0.9245 0.6723 Er
0.3825 0.6723 0.9245 Er
0.1287 0.0018 0.0018 Ru
0.4919 0.6952 0.3167 Pt
0.4919 0.3167 0.6952 Pt